No. 1
LaLuRu2: relaxed, PBE.

Properties
* ΔH_f (0 K): -1.0 eV/f.u.

Cell and atoms, written as POSCAR:
```
LaLuRu2
1.0
-2.437 -1.570 1.846
-1.525 -1.040 -2.899
3.761 -5.743 0.080
Ru Lu La
2 1 1
Cartesian
2.856 -4.360 0.061
0.905 -1.382 0.019
-1.981 -1.305 -0.527
-0.100 -4.176 -0.486
```

=====

No. 2
RbTc2Au: relaxed, PBE.

Properties
* ΔH_f (0 K): 7.2 eV/f.u.
* ΔE to the lowest computed polymorph: 224 kJ/mol of formula units

Cell and atoms, written as POSCAR:
```
RbTc2Au
1.0
0.000 3.336 3.336
3.336 0.000 3.336
3.336 3.336 0.000
Au Tc Rb
1 2 1
Cartesian
3.336 3.336 3.336
1.668 1.668 1.668
5.003 5.003 5.003
0.000 0.000 0.000
```

=====

No. 3
Ce2PmSm3P6: relaxed, PBE.

Properties
* ΔH_f (0 K): -18.7 eV/f.u.

Cell and atoms, written as POSCAR:
```
Ce2PmSm3P6
1.0
7.105 -0.001 0.001
-3.551 6.153 0.001
-1.185 -2.052 6.694
Ce Pm Sm P
2 1 3 6
Cartesian
-0.002 4.103 0.001
3.555 2.049 0.001
0.000 0.000 0.000
-2.376 4.107 3.348
4.744 -0.006 3.348
1.184 2.050 3.348
3.566 2.025 5.042
2.355 4.077 1.659
-1.198 2.076 1.654
-0.028 4.101 5.042
0.014 0.024 5.037
2.397 0.000 1.654
```

=====

Number 2 is which compound?
RbTc2Au